! LaSm3Tl2 (PBE-GGA, optimized geometry); values from VASP
! **Energy relative to the elements**: -0.20 eV per atom
! **Crystal system**: monoclinic
&SYSTEM
  ibrav = 0, nat = 12, ntyp = 3
/
ATOMIC_SPECIES
Tl 204.38 Tl.upf
Sm 150.36 Sm.upf
La 138.91 La.upf
ATOMIC_POSITIONS crystal
Tl 0.7757 0.5513 0.1446
Tl 0.4843 0.9687 0.1387
Tl 0.5157 0.0313 0.8613
Tl 0.2243 0.4487 0.8554
Sm 0.6949 0.3899 0.3925
Sm 0.6174 0.2349 0.6929
Sm 0.0603 0.1206 0.4065
Sm 0.3051 0.6101 0.6075
Sm 0.3826 0.7651 0.3071
Sm 0.9397 0.8794 0.5935
La 0.8698 0.7395 0.9138
La 0.1302 0.2605 0.0862
CELL_PARAMETERS angstrom
-4.2632 2.1115 2.7665
1.0280 -8.9905 2.9720
5.4131 7.1917 2.8527


! ThBePdC (PBE-GGA, optimized geometry); values from VASP
! **Energy relative to the elements**: -0.51 eV per atom
! **Crystal system**: tetragonal
&SYSTEM
  ibrav = 0, nat = 8, ntyp = 4
/
ATOMIC_SPECIES
Th 232.04 Th.upf
Be 9.01 Be.upf
C 12.01 C.upf
Pd 106.42 Pd.upf
ATOMIC_POSITIONS crystal
Th 0.5000 0.0000 0.1606
Th 0.0000 0.5000 0.8394
Be 0.5000 0.0000 0.6552
Be 0.0000 0.5000 0.3448
C 0.5000 0.0000 0.8647
C 0.0000 0.5000 0.1353
Pd 0.0000 0.0000 0.5000
Pd 0.5000 0.5000 0.5000
CELL_PARAMETERS angstrom
-1.2969 -3.3072 -1.5726
3.2041 -1.8326 1.2116
-3.7580 -1.8917 7.0774


! KIr2SeI (PBE-GGA, optimized geometry); values from VASP
! **Crystal system**: tetragonal
! **Uncorrected formation energy**: 0.589 eV/atom
&SYSTEM
  ibrav = 0, nat = 5, ntyp = 4
/
ATOMIC_SPECIES
I 126.90 I.upf
Se 78.96 Se.upf
K 39.10 K.upf
Ir 192.22 Ir.upf
ATOMIC_POSITIONS crystal
I 0.5000 0.5000 0.5000
Se 0.0000 0.0000 0.0000
K 0.0000 0.5000 0.0000
Ir 0.5000 0.0000 0.0000
Ir 0.0000 0.0000 0.5000
CELL_PARAMETERS angstrom
4.6053 0.0000 0.0000
0.0000 7.6316 0.0000
0.0000 0.0000 4.6053


| no. | magnetization (μB per atom) |
| --- | --- |
| 1 | 0.00 |
| 2 | 0.00 |
| 3 | 0.15 |